Run w
KSr2Y (GGA-PBE, relaxed); total moment = 0.93 Bohr magnetons per cell; density = 2.58 Mg/m³; D(E_F) = 5.66 states/eV/f.u.
1.0
-2.112 3.460 6.673
2.112 -3.460 6.673
2.112 3.460 -6.673
K Sr Y
1 2 1
Direct
0.000 0.000 0.000
0.259 0.759 0.500
0.741 0.241 0.500
0.500 0.500 0.000

=====

Run x
KSr2Y (GGA-PBE, relaxed); total moment = 0.03 Bohr magnetons per cell; density = 2.63 Mg/m³; D(E_F) = 5.88 states/eV/f.u.
1.0
4.406 -5.303 0.000
4.406 5.303 0.000
0.000 0.000 4.094
K Sr Y
1 2 1
Direct
0.000 0.000 0.000
0.000 0.500 0.500
0.500 0.000 0.500
0.500 0.500 0.000

=====

It is run x that is most stable; the runner-up trails by 45 meV/atom.

=====

Run w
KSr2Y (GGA-PBE, relaxed); total moment = 0.00 Bohr magnetons per cell; density = 2.60 Mg/m³; D(E_F) = 5.06 states/eV/f.u.
1.0
0.000 4.592 4.592
4.592 0.000 4.592
4.592 4.592 0.000
K Sr Y
1 2 1
Direct
0.000 0.000 0.000
0.500 0.500 0.500
0.750 0.750 0.750
0.250 0.250 0.250

=====

Run x
KSr2Y (GGA-PBE, relaxed); total moment = 0.00 Bohr magnetons per cell; density = 2.58 Mg/m³; D(E_F) = 5.95 states/eV/f.u.
1.0
2.241 -3.234 0.000
2.241 3.234 0.000
0.000 0.000 13.465
K Sr Y
1 2 1
Direct
0.000 0.000 0.000
0.500 0.500 0.281
0.500 0.500 0.719
0.000 0.000 0.500

=====

Run y
KSr2Y (GGA-PBE, relaxed); total moment = 0.77 Bohr magnetons per cell; density = 2.49 Mg/m³; D(E_F) = 5.92 states/eV/f.u.
1.0
4.035 0.000 0.000
0.000 4.035 0.000
0.000 0.000 12.399
K Sr Y
1 2 1
Direct
0.000 0.000 0.000
0.500 0.500 0.289
0.500 0.500 0.711
0.000 0.000 0.500

=====

Run z
KSr2Y (GGA-PBE, relaxed); total moment = 0.00 Bohr magnetons per cell; density = 2.62 Mg/m³; D(E_F) = 5.41 states/eV/f.u.
1.0
4.311 0.000 0.000
0.000 6.561 0.000
0.000 0.000 6.798
K Sr Y
1 2 1
Direct
0.000 0.000 0.000
0.000 0.500 0.500
0.500 0.500 0.000
0.500 0.000 0.500

=====

It is run y that is most stable; the runner-up trails by 10 meV/atom.